a) Compound: NaPOsCl2
Source: Alexandria
Functional: PBE-GGA
Structure: optimized geometry

Computed properties:
- total magnetic moment (μB/atom) = 0.54

a = 4.7073 Å, b = 4.7073 Å, c = 5.5187 Å
α = 90.00°, β = 90.00°, γ = 90.00°
Last column: nearest neighbours and their distance in Å.
Atoms (fractional coordinates):
Na: 0.0000 0.0000 0.0000  4 Cl 2.35
P: 0.0000 0.0000 0.5000  2 Na 2.76
Os: 0.5000 0.5000 0.5000  4 P 3.33, 8 Cl 3.63
Cl: 0.0000 0.5000 0.0000  2 Na 2.35
Cl: 0.5000 0.0000 0.0000  2 Na 2.35

b) Compound: NaPOsCl2
Source: Alexandria
Functional: PBE-GGA
Structure: optimized geometry

Computed properties:
- total magnetic moment (μB/atom) = 0.00

a = 5.0961 Å, b = 5.0961 Å, c = 4.4545 Å
α = 90.00°, β = 90.00°, γ = 90.00°
Last column: nearest neighbours and their distance in Å.
Atoms (fractional coordinates):
Na: 0.0000 0.0000 0.0000  8 Cl 3.38, 4 P 3.60
P: 0.5000 0.5000 0.0000  2 Os 2.23
Os: 0.5000 0.5000 0.5000  2 P 2.23
Cl: 0.0000 0.5000 0.5000  2 Os 2.55
Cl: 0.5000 0.0000 0.5000  2 Os 2.55

Most stable of them? b).

a) Compound: NaPCl3
Source: Alexandria
Functional: PBE-GGA
Structure: optimized geometry

Computed properties:
- total magnetic moment (μB/atom) = 0.20

a = 5.0461 Å, b = 5.0461 Å, c = 5.0461 Å
α = 90.00°, β = 90.00°, γ = 90.00°
Last column: nearest neighbours and their distance in Å.
Atoms (fractional coordinates):
Na: 0.0000 0.0000 0.0000  6 Cl 2.52
P: 0.5000 0.5000 0.5000  12 Cl 3.57
Cl: 0.0000 0.0000 0.5000  2 Na 2.52
Cl: 0.0000 0.5000 0.0000  2 Na 2.52
Cl: 0.5000 0.0000 0.0000  2 Na 2.52

b) Compound: NaPCl3
Source: Alexandria
Functional: PBE-GGA
Structure: optimized geometry

Computed properties:
- total magnetic moment (μB/atom) = 0.00

a = 4.9656 Å, b = 4.9656 Å, c = 4.9656 Å
α = 90.00°, β = 90.00°, γ = 90.00°
Last column: nearest neighbours and their distance in Å.
Atoms (fractional coordinates):
Na: 0.0000 0.0000 0.0000  12 Cl 3.51
P: 0.5000 0.5000 0.5000  6 Cl 2.48
Cl: 0.0000 0.5000 0.5000  2 P 2.48
Cl: 0.5000 0.0000 0.5000  2 P 2.48
Cl: 0.5000 0.5000 0.0000  2 P 2.48

Most stable of them? b).

a) Compound: Na2PCl
Source: Alexandria
Functional: PBE-GGA
Structure: optimized geometry

Computed properties:
- total magnetic moment (μB/atom) = 0.50

a = 5.0833 Å, b = 5.0833 Å, c = 5.0833 Å
α = 60.00°, β = 60.00°, γ = 60.00°
Last column: nearest neighbours and their distance in Å.
Atoms (fractional coordinates):
Na: 0.2500 0.2500 0.2500  4 Cl 3.11, 4 P 3.11
Na: 0.7500 0.7500 0.7500  4 Cl 3.11, 4 P 3.11
P: 0.0000 0.0000 0.0000  8 Na 3.11
Cl: 0.5000 0.5000 0.5000  8 Na 3.11

b) Compound: Na2PCl
Source: Alexandria
Functional: PBE-GGA
Structure: optimized geometry

Computed properties:
- total magnetic moment (μB/atom) = 0.50

a = 6.6202 Å, b = 6.6202 Å, c = 6.6202 Å
α = 111.57°, β = 111.57°, γ = 105.35°
Last column: nearest neighbours and their distance in Å.
Atoms (fractional coordinates):
Na: 0.0980 0.6250 0.9730  2 Cl 2.69, 2 P 2.95
Na: 0.3750 0.3480 0.4730  2 Cl 2.69, 2 P 2.95
Na: 0.6520 0.1250 0.0270  2 Cl 2.69, 2 P 2.95
Na: 0.8750 0.9020 0.5270  2 Cl 2.69, 2 P 2.95
P: 0.2500 0.7500 0.5000  4 Na 2.95
P: 0.5000 0.5000 0.0000  4 Na 2.95
Cl: 0.0000 0.0000 0.0000  4 Na 2.69
Cl: 0.7500 0.2500 0.5000  4 Na 2.69

Most stable of them? b).

a) Compound: NaP2Cl
Source: Alexandria
Functional: PBE-GGA
Structure: optimized geometry

Computed properties:
- total magnetic moment (μB/atom) = 0.00

a = 18.0591 Å, b = 18.0591 Å, c = 18.0591 Å
α = 168.46°, β = 168.46°, γ = 16.35°
Last column: nearest neighbours and their distance in Å.
Atoms (fractional coordinates):
Na: 0.0000 0.0000 0.0000  4 Cl 2.57
Na: 0.7500 0.2500 0.5000  4 Cl 2.57
P: 0.2018 0.6250 0.0768  2 P 2.21
P: 0.3750 0.4518 0.5768  2 P 2.21
P: 0.5482 0.1250 0.9232  2 P 2.21
P: 0.8750 0.7982 0.4232  2 P 2.21
Cl: 0.2500 0.7500 0.5000  4 Na 2.57
Cl: 0.5000 0.5000 0.0000  4 Na 2.57

b) Compound: NaP2Cl
Source: Alexandria
Functional: PBE-GGA
Structure: optimized geometry

Computed properties:
- total magnetic moment (μB/atom) = 0.00

a = 4.8001 Å, b = 4.8001 Å, c = 4.8001 Å
α = 60.00°, β = 60.00°, γ = 60.00°
Last column: nearest neighbours and their distance in Å.
Atoms (fractional coordinates):
Na: 0.0000 0.0000 0.0000  8 P 2.94
P: 0.2500 0.2500 0.2500  4 Cl 2.94, 4 Na 2.94
P: 0.7500 0.7500 0.7500  4 Na 2.94, 4 Cl 2.94
Cl: 0.5000 0.5000 0.5000  8 P 2.94

Most stable of them? a).

a) Compound: NaPPbCl2
Source: Alexandria
Functional: PBE-GGA
Structure: optimized geometry

Computed properties:
- total magnetic moment (μB/atom) = 0.40

a = 5.2596 Å, b = 5.2596 Å, c = 5.6168 Å
α = 90.00°, β = 90.00°, γ = 90.00°
Last column: nearest neighbours and their distance in Å.
Atoms (fractional coordinates):
Na: 0.0000 0.0000 0.0000  4 Cl 2.63, 2 P 2.81
P: 0.0000 0.0000 0.5000  2 Na 2.81
Pb: 0.5000 0.5000 0.5000  4 P 3.72, 8 Cl 3.85
Cl: 0.0000 0.5000 0.0000  2 Na 2.63
Cl: 0.5000 0.0000 0.0000  2 Na 2.63

b) Compound: NaPPbCl2
Source: Alexandria
Functional: PBE-GGA
Structure: optimized geometry

Computed properties:
- total magnetic moment (μB/atom) = 0.34

a = 5.8261 Å, b = 5.8261 Å, c = 6.1809 Å
α = 90.00°, β = 90.00°, γ = 90.00°
Last column: nearest neighbours and their distance in Å.
Atoms (fractional coordinates):
Na: 0.0000 0.0000 0.0000  4 P 4.12, 8 Cl 4.25
P: 0.5000 0.5000 0.0000  2 Pb 3.09
Pb: 0.5000 0.5000 0.5000  4 Cl 2.91, 2 P 3.09
Cl: 0.0000 0.5000 0.5000  2 Pb 2.91
Cl: 0.5000 0.0000 0.5000  2 Pb 2.91

Most stable of them? b).

a) Compound: NaP2PdCl
Source: Alexandria
Functional: PBE-GGA
Structure: optimized geometry

Computed properties:
- total magnetic moment (μB/atom) = 0.04

a = 4.4369 Å, b = 4.4369 Å, c = 7.8329 Å
α = 90.00°, β = 90.00°, γ = 90.00°
Last column: nearest neighbours and their distance in Å.
Atoms (fractional coordinates):
Na: 0.0000 0.0000 0.0000  4 Cl 3.14
P: 0.0000 0.5000 0.5000  2 Pd 2.22
P: 0.5000 0.0000 0.5000  2 Pd 2.22
Pd: 0.5000 0.5000 0.5000  4 P 2.22
Cl: 0.5000 0.5000 0.0000  4 Na 3.14

b) Compound: NaP2PdCl
Source: Alexandria
Functional: PBE-GGA
Structure: optimized geometry

Computed properties:
- total magnetic moment (μB/atom) = 0.00

a = 4.9026 Å, b = 4.9026 Å, c = 4.7694 Å
α = 90.00°, β = 90.00°, γ = 90.00°
Last column: nearest neighbours and their distance in Å.
Atoms (fractional coordinates):
Na: 0.0000 0.0000 0.0000  2 Cl 2.38, 4 P 2.45
P: 0.0000 0.5000 0.0000  2 Na 2.45
P: 0.5000 0.0000 0.0000  2 Na 2.45
Pd: 0.5000 0.5000 0.5000  8 P 3.42, 4 Cl 3.47
Cl: 0.0000 0.0000 0.5000  2 Na 2.38

Most stable of them? a).

a) Compound: NaReP2Cl
Source: Alexandria
Functional: PBE-GGA
Structure: optimized geometry

Computed properties:
- total magnetic moment (μB/atom) = 0.00

a = 4.7280 Å, b = 4.7280 Å, c = 4.5147 Å
α = 90.00°, β = 90.00°, γ = 90.00°
Last column: nearest neighbours and their distance in Å.
Atoms (fractional coordinates):
Na: 0.0000 0.0000 0.0000  2 Cl 2.26, 4 P 2.36
Re: 0.5000 0.5000 0.5000  8 P 3.27, 4 Cl 3.34
P: 0.0000 0.5000 0.0000  2 Na 2.36
P: 0.5000 0.0000 0.0000  2 Na 2.36
Cl: 0.0000 0.0000 0.5000  2 Na 2.26

b) Compound: NaReP2Cl
Source: Alexandria
Functional: PBE-GGA
Structure: optimized geometry

Computed properties:
- total magnetic moment (μB/atom) = 0.00

a = 4.5428 Å, b = 4.5428 Å, c = 5.5263 Å
α = 90.00°, β = 90.00°, γ = 90.00°
Last column: nearest neighbours and their distance in Å.
Atoms (fractional coordinates):
Na: 0.0000 0.0000 0.0000  4 Cl 3.21, 8 P 3.58
Re: 0.5000 0.5000 0.5000  4 P 2.27
P: 0.0000 0.5000 0.5000  2 Re 2.27
P: 0.5000 0.0000 0.5000  2 Re 2.27
Cl: 0.5000 0.5000 0.0000  2 Re 2.76

Most stable of them? b).

a) Compound: NaRePCl2
Source: Alexandria
Functional: PBE-GGA
Structure: optimized geometry

Computed properties:
- total magnetic moment (μB/atom) = 0.60

a = 4.7909 Å, b = 4.7909 Å, c = 5.5513 Å
α = 90.00°, β = 90.00°, γ = 90.00°
Last column: nearest neighbours and their distance in Å.
Atoms (fractional coordinates):
Na: 0.0000 0.0000 0.0000  4 Cl 2.40
Re: 0.5000 0.5000 0.5000  4 P 3.39, 8 Cl 3.67
P: 0.0000 0.0000 0.5000  2 Na 2.78
Cl: 0.0000 0.5000 0.0000  2 Na 2.40
Cl: 0.5000 0.0000 0.0000  2 Na 2.40

b) Compound: NaRePCl2
Source: Alexandria
Functional: PBE-GGA
Structure: optimized geometry

Computed properties:
- total magnetic moment (μB/atom) = 0.30

a = 5.0754 Å, b = 5.0754 Å, c = 4.5575 Å
α = 90.00°, β = 90.00°, γ = 90.00°
Last column: nearest neighbours and their distance in Å.
Atoms (fractional coordinates):
Na: 0.0000 0.0000 0.0000  8 Cl 3.41, 4 P 3.59
Re: 0.5000 0.5000 0.5000  2 P 2.28, 4 Cl 2.54
P: 0.5000 0.5000 0.0000  2 Re 2.28
Cl: 0.0000 0.5000 0.5000  2 Re 2.54
Cl: 0.5000 0.0000 0.5000  2 Re 2.54

Most stable of them? b).

a) Compound: NaPRhCl2
Source: Alexandria
Functional: PBE-GGA
Structure: optimized geometry

Computed properties:
- total magnetic moment (μB/atom) = 0.00

a = 5.1845 Å, b = 5.1845 Å, c = 4.3871 Å
α = 90.00°, β = 90.00°, γ = 90.00°
Last column: nearest neighbours and their distance in Å.
Atoms (fractional coordinates):
Na: 0.0000 0.0000 0.0000  8 Cl 3.40, 4 P 3.67
P: 0.5000 0.5000 0.0000  2 Rh 2.19
Rh: 0.5000 0.5000 0.5000  2 P 2.19
Cl: 0.0000 0.5000 0.5000  2 Rh 2.59
Cl: 0.5000 0.0000 0.5000  2 Rh 2.59

b) Compound: NaPRhCl2
Source: Alexandria
Functional: PBE-GGA
Structure: optimized geometry

Computed properties:
- total magnetic moment (μB/atom) = 0.79

a = 4.8498 Å, b = 4.8498 Å, c = 5.3477 Å
α = 90.00°, β = 90.00°, γ = 90.00°
Last column: nearest neighbours and their distance in Å.
Atoms (fractional coordinates):
Na: 0.0000 0.0000 0.0000  4 Cl 2.42, 2 P 2.67
P: 0.0000 0.0000 0.5000  2 Na 2.67
Rh: 0.5000 0.5000 0.5000  4 P 3.43, 8 Cl 3.61
Cl: 0.0000 0.5000 0.0000  2 Na 2.42
Cl: 0.5000 0.0000 0.0000  2 Na 2.42

Most stable of them? a).

a) Compound: NaPRuCl2
Source: Alexandria
Functional: PBE-GGA
Structure: optimized geometry

Computed properties:
- total magnetic moment (μB/atom) = 0.00

a = 5.0978 Å, b = 5.0978 Å, c = 4.4235 Å
α = 90.00°, β = 90.00°, γ = 90.00°
Last column: nearest neighbours and their distance in Å.
Atoms (fractional coordinates):
Na: 0.0000 0.0000 0.0000  8 Cl 3.37, 4 P 3.60
P: 0.5000 0.5000 0.0000  2 Ru 2.21
Ru: 0.5000 0.5000 0.5000  2 P 2.21
Cl: 0.0000 0.5000 0.5000  2 Ru 2.55
Cl: 0.5000 0.0000 0.5000  2 Ru 2.55

b) Compound: NaPRuCl2
Source: Alexandria
Functional: PBE-GGA
Structure: optimized geometry

Computed properties:
- total magnetic moment (μB/atom) = 0.73

a = 4.7496 Å, b = 4.7496 Å, c = 5.3913 Å
α = 90.00°, β = 90.00°, γ = 90.00°
Last column: nearest neighbours and their distance in Å.
Atoms (fractional coordinates):
Na: 0.0000 0.0000 0.0000  4 Cl 2.37
P: 0.0000 0.0000 0.5000  2 Na 2.70
Ru: 0.5000 0.5000 0.5000  4 P 3.36, 8 Cl 3.59
Cl: 0.0000 0.5000 0.0000  2 Na 2.37
Cl: 0.5000 0.0000 0.0000  2 Na 2.37

Most stable of them? a).

a) Compound: NaSbP2Cl
Source: Alexandria
Functional: PBE-GGA
Structure: optimized geometry

Computed properties:
- total magnetic moment (μB/atom) = 0.20

a = 5.1014 Å, b = 5.1014 Å, c = 5.6462 Å
α = 90.00°, β = 90.00°, γ = 90.00°
Last column: nearest neighbours and their distance in Å.
Atoms (fractional coordinates):
Na: 0.0000 0.0000 0.0000  4 Cl 3.61, 8 P 3.80
Sb: 0.5000 0.5000 0.5000  4 P 2.55, 2 Cl 2.82
P: 0.0000 0.5000 0.5000  2 Sb 2.55
P: 0.5000 0.0000 0.5000  2 Sb 2.55
Cl: 0.5000 0.5000 0.0000  2 Sb 2.82

b) Compound: NaSbP2Cl
Source: Alexandria
Functional: PBE-GGA
Structure: optimized geometry

Computed properties:
- total magnetic moment (μB/atom) = 0.00

a = 5.0517 Å, b = 5.0517 Å, c = 4.7071 Å
α = 90.00°, β = 90.00°, γ = 90.00°
Last column: nearest neighbours and their distance in Å.
Atoms (fractional coordinates):
Na: 0.0000 0.0000 0.0000  2 Cl 2.35, 4 P 2.53
Sb: 0.5000 0.5000 0.5000  8 P 3.45, 4 Cl 3.57
P: 0.0000 0.5000 0.0000  2 Na 2.53
P: 0.5000 0.0000 0.0000  2 Na 2.53
Cl: 0.0000 0.0000 0.5000  2 Na 2.35

Most stable of them? a).

a) Compound: NaSbPCl2
Source: Alexandria
Functional: PBE-GGA
Structure: optimized geometry

Computed properties:
- total magnetic moment (μB/atom) = 0.20

a = 4.7974 Å, b = 4.7974 Å, c = 5.5818 Å
α = 90.00°, β = 90.00°, γ = 90.00°
Last column: nearest neighbours and their distance in Å.
Atoms (fractional coordinates):
Na: 0.0000 0.0000 0.0000  4 Cl 2.40
Sb: 0.5000 0.5000 0.5000  4 P 3.39, 8 Cl 3.68
P: 0.0000 0.0000 0.5000  2 Na 2.79
Cl: 0.0000 0.5000 0.0000  2 Na 2.40
Cl: 0.5000 0.0000 0.0000  2 Na 2.40

b) Compound: NaSbPCl2
Source: Alexandria
Functional: PBE-GGA
Structure: optimized geometry

Computed properties:
- total magnetic moment (μB/atom) = 0.14

a = 5.4648 Å, b = 5.4648 Å, c = 5.1996 Å
α = 90.00°, β = 90.00°, γ = 90.00°
Last column: nearest neighbours and their distance in Å.
Atoms (fractional coordinates):
Na: 0.0000 0.0000 0.0000  8 Cl 3.77, 4 P 3.86
Sb: 0.5000 0.5000 0.5000  2 P 2.60, 4 Cl 2.73
P: 0.5000 0.5000 0.0000  2 Sb 2.60
Cl: 0.0000 0.5000 0.5000  2 Sb 2.73
Cl: 0.5000 0.0000 0.5000  2 Sb 2.73

Most stable of them? b).